# MgInFeSb (GGA-PBE, relaxed)
# Energy above the lowest structure with this stoichiometry (meV/atom): 0
data_MgInFeSb
_cell_length_a 6.698
_cell_length_b 6.698
_cell_length_c 6.698
_cell_angle_alpha 90.00
_cell_angle_beta 90.00
_cell_angle_gamma 90.00
_symmetry_space_group_name_H-M 'F -4 3 m'
_symmetry_Int_Tables_number 216
_symmetry_space_group_name_Hall 'F -4 2 3'
loop_
_atom_site_label
_atom_site_type_symbol
_atom_site_fract_x
_atom_site_fract_y
_atom_site_fract_z
Mg1 Mg 0.000 0.000 0.000
In1 In 0.250 0.250 0.750
Fe1 Fe 0.000 0.000 0.500
Sb1 Sb 0.250 0.250 0.250

***

PrInAg2O4 | GGA-PBE | relaxed

CIF file:
```
data_PrInAg2O4
_cell_length_a 3.5208
_cell_length_b 3.5208
_cell_length_c 12.6237
_cell_angle_alpha 90.00
_cell_angle_beta 90.00
_cell_angle_gamma 120.00
_symmetry_space_group_name_H-M 'P -3 m 1'
_symmetry_Int_Tables_number 164
_symmetry_space_group_name_Hall '-P 3 2"'
loop_
_atom_site_label
_atom_site_type_symbol
_atom_site_fract_x
_atom_site_fract_y
_atom_site_fract_z
Pr1 Pr 0.0000 0.0000 0.0000
In1 In 0.0000 0.0000 0.5000
Ag1 Ag 0.3333 0.6667 0.2573
O1 O 0.3333 0.6667 0.0938
O2 O 0.3333 0.6667 0.4226
```

***

Number 1: electronic total energy -3.88 eV/atom. Number 2: electronic total energy -5.64 eV/atom.